{"formula": "Hg3Se", "functional": "PBE", "state": "relaxed", "lattice": [[-6.405, -0.096, -0.072], [0.043, -0.620, -3.004], [0.100, -5.856, -1.091]], "species": ["Hg", "Hg", "Hg", "Se"], "frac_coords": [[0.500, 0.750, 0.750], [0.000, 0.373, 0.489], [0.000, 0.127, 0.011], [0.500, 0.250, 0.250]], "e_form_raw_kj_per_mol_atoms": 8.0}

---

{"formula": "HgSe2", "functional": "PBE", "state": "relaxed", "lattice": [[2.410, -4.590, -3.952], [3.469, -0.740, -5.469], [8.102, -1.849, 0.964]], "species": ["Se", "Se", "Se", "Se", "Hg", "Hg"], "frac_coords": [[0.153, 0.153, 0.819], [0.619, 0.619, 0.339], [0.381, 0.381, 0.661], [0.847, 0.847, 0.181], [0.908, 0.908, 0.837], [0.092, 0.092, 0.163]], "e_form_raw_kj_per_mol_atoms": 4.9}

---

{"formula": "HgSe3", "functional": "PBE", "state": "relaxed", "lattice": [[0.075, 8.057, 0.098], [-7.040, -3.882, -0.540], [-0.259, -0.042, 3.682]], "species": ["Se", "Se", "Se", "Se", "Se", "Se", "Hg", "Hg"], "frac_coords": [[0.072, 0.928, 0.750], [0.983, 0.605, 0.250], [0.605, 0.983, 0.750], [0.017, 0.395, 0.750], [0.928, 0.072, 0.250], [0.395, 0.017, 0.250], [0.578, 0.422, 0.250], [0.422, 0.578, 0.750]], "e_form_raw_kj_per_mol_atoms": 15.5}